# CsLaSbI2 (PBE, optimized geometry)
# - energy relative to the elements, uncorrected (eV/atom) = -1.01
# - theoretical density (g/cm3) = 4.22
# - Fermi-level density of states (states/eV per cell) = 4.9
data_CsLaSbI2
_chemical_formula_sum 'Cs1 La1 Sb1 I2'
_cell_length_a 6.411
_cell_length_b 6.411
_cell_length_c 6.192
_cell_angle_alpha 90.00
_cell_angle_beta 90.00
_cell_angle_gamma 90.00
_space_group_name_H-M_alt 'P 4/m m m'
_space_group_IT_number 123
_space_group_name_Hall '-P 4 2'
loop_
_atom_site_label
_atom_site_fract_x
_atom_site_fract_y
_atom_site_fract_z
_atom_site_occupancy
Cs1 0.000 0.000 0.000 1
La1 0.500 0.500 0.500 1
Sb1 0.500 0.500 0.000 1
I1 0.000 0.500 0.500 1